The following is a DFT calculation (GGA-PBE) of crystalline K2CoSi at its relaxed geometry.

* raw formation energy: 919 meV/atom

Unit cell a=4.1513 b=4.1683 c=5.4118 alpha=90.00 beta=90.00 gamma=90.00
With the nearest neighbours (Å) after each atom.
Positions (direct):
K: 0.0000 0.0000 0.0000  4 K 2.94
K: 0.5000 0.5000 0.0000  4 K 2.94
Co: 0.0000 0.5000 0.5000  4 Si 2.94
Si: 0.5000 0.0000 0.5000  4 Co 2.94

---

The following is a DFT calculation (GGA-PBE) of crystalline PtC2 at its relaxed geometry.

* E_form: 3.98 eV/f.u.
* ΔE to the lowest computed polymorph: 1007 meV/atom

Unit cell a=16.6450 b=16.6450 c=16.6450 alpha=170.94 beta=170.94 gamma=12.83
With the nearest neighbours (Å) after each atom.
Positions (direct):
Pt: 0.3101 0.5601 0.7500  2 C 2.08
Pt: 0.4399 0.6899 0.7500  2 C 2.08
Pt: 0.5601 0.3101 0.2500  2 C 2.08
Pt: 0.6899 0.4399 0.2500  2 C 2.08
C: 0.0114 0.2614 0.7500  2 C 1.52
C: 0.1229 0.3729 0.7500  4 C 1.86
C: 0.2614 0.0114 0.2500  2 C 1.52
C: 0.3729 0.1229 0.2500  4 C 1.86
C: 0.6271 0.8771 0.7500  4 C 1.86
C: 0.7386 0.9886 0.7500  2 C 1.52
C: 0.8771 0.6271 0.2500  4 C 1.86
C: 0.9886 0.7386 0.2500  2 C 1.52

---

The following is a DFT calculation (GGA-PBE) of crystalline BiTe2Pd at its relaxed geometry.

* raw formation energy: 203 meV/atom

Unit cell a=3.2450 b=3.2450 c=37.4354 alpha=90.00 beta=90.00 gamma=120.00
With the nearest neighbours (Å) after each atom.
Positions (direct):
Bi: 0.0000 0.0000 0.0000  6 Bi 3.25
Bi: 0.3333 0.6667 0.6667  6 Bi 3.25
Bi: 0.6667 0.3333 0.3333  6 Bi 3.25
Te: 0.0000 0.0000 0.4308  1 Pd 2.59
Te: 0.0000 0.0000 0.5692  1 Pd 2.59
Te: 0.3333 0.6667 0.0974  1 Pd 2.59
Te: 0.3333 0.6667 0.2359  1 Pd 2.59
Te: 0.6667 0.3333 0.7641  1 Pd 2.59
Te: 0.6667 0.3333 0.9026  1 Pd 2.59
Pd: 0.0000 0.0000 0.5000  2 Te 2.59
Pd: 0.3333 0.6667 0.1667  2 Te 2.59
Pd: 0.6667 0.3333 0.8333  2 Te 2.59

---

The following is a DFT calculation (GGA-PBE) of crystalline Pm4Nd8Sc at its relaxed geometry.

* E_form: 2.13 eV/f.u.

Unit cell a=10.3798 b=10.3798 c=10.3798 alpha=41.91 beta=41.91 gamma=41.91
With the nearest neighbours (Å) after each atom.
Positions (direct):
Pm: 0.0000 0.0000 0.0000  6 Nd 3.47, 6 Pm 3.71
Pm: 0.0000 0.5000 0.5000  6 Nd 3.65-3.98, 6 Pm 3.71
Pm: 0.5000 0.0000 0.5000  6 Nd 3.65-3.98, 6 Pm 3.71
Pm: 0.5000 0.5000 0.0000  6 Nd 3.65-3.98, 6 Pm 3.71
Nd: 0.2010 0.7473 0.7473  1 Sc 2.98
Nd: 0.2151 0.2151 0.2151  9 Nd 3.75-3.76, 3 Pm 3.98
Nd: 0.2527 0.2527 0.7990  1 Sc 2.98
Nd: 0.2527 0.7990 0.2527  1 Sc 2.98
Nd: 0.7473 0.2010 0.7473  1 Sc 2.98
Nd: 0.7473 0.7473 0.2010  1 Sc 2.98
Nd: 0.7849 0.7849 0.7849  9 Nd 3.75-3.76, 3 Pm 3.98
Nd: 0.7990 0.2527 0.2527  1 Sc 2.98
Sc: 0.5000 0.5000 0.5000  6 Nd 2.98

---

The following is a DFT calculation (GGA-PBE) of crystalline CaPuSbPd at its relaxed geometry.

* raw formation energy: -596 meV/atom

Unit cell a=7.3708 b=7.3708 c=7.3708 alpha=90.00 beta=90.00 gamma=90.00
With the nearest neighbours (Å) after each atom.
Positions (direct):
Ca: 0.0000 0.0000 0.0000  4 Sb 3.19, 4 Pd 3.19
Ca: 0.0000 0.5000 0.5000  4 Sb 3.19, 4 Pd 3.19
Ca: 0.5000 0.0000 0.5000  4 Sb 3.19, 4 Pd 3.19
Ca: 0.5000 0.5000 0.0000  4 Sb 3.19, 4 Pd 3.19
Pu: 0.0000 0.0000 0.5000  4 Sb 3.19, 4 Pd 3.19
Pu: 0.0000 0.5000 0.0000  4 Sb 3.19, 4 Pd 3.19
Pu: 0.5000 0.0000 0.0000  4 Sb 3.19, 4 Pd 3.19
Pu: 0.5000 0.5000 0.5000  4 Sb 3.19, 4 Pd 3.19
Sb: 0.2500 0.2500 0.2500  4 Ca 3.19, 4 Pu 3.19
Sb: 0.2500 0.7500 0.7500  4 Pu 3.19, 4 Ca 3.19
Sb: 0.7500 0.2500 0.7500  4 Pu 3.19, 4 Ca 3.19
Sb: 0.7500 0.7500 0.2500  4 Pu 3.19, 4 Ca 3.19
Pd: 0.2500 0.2500 0.7500  4 Ca 3.19, 4 Pu 3.19
Pd: 0.2500 0.7500 0.2500  4 Ca 3.19, 4 Pu 3.19
Pd: 0.7500 0.2500 0.2500  4 Ca 3.19, 4 Pu 3.19
Pd: 0.7500 0.7500 0.7500  4 Ca 3.19, 4 Pu 3.19

---

> Number 2 is which compound?

PtC2